YGaAgAu: relaxed, PBE.

Cell: 4.842 4.842 4.842 Å, 60.00 60.00 60.00°
Fractional coordinates of all 4 atoms:
Ga 0.250 0.250 0.250
Y 0.750 0.750 0.750
Ag 0.000 0.000 0.000
Au 0.500 0.500 0.500

Results
Theoretical density   9587 kg/m3
Formation energy from the elements   -495.4 meV/atom
Space group   F-43m